# YCdSb2, relaxed, DFT PBE
# DOS(E_F)   2.41 states/eV per cell
# Raw formation energy   -42.1 kJ/mol of atoms
# Calculated volume   109 Å³/cell
# Calculated total energy   -4.342 eV per atom
# Magnetization   0.0 μB/f.u.
data_YCdSb2
_cell_length_a 3.735
_cell_length_b 4.953
_cell_length_c 6.031
_cell_angle_alpha 90.00
_cell_angle_beta 101.55
_cell_angle_gamma 90.00
_space_group_name_H-M_alt 'P 1 m 1'
_space_group_IT_number 6
loop_
_space_group_symop_operation_xyz
'x,y,z'
'x,-y,z'
loop_
_atom_site_label
_atom_site_type_symbol
_atom_site_fract_x
_atom_site_fract_y
_atom_site_fract_z
_atom_site_occupancy
Y1 Y 0.000 0.000 0.000 1
Cd1 Cd 0.193 0.500 0.391 1
Sb1 Sb 0.443 0.500 0.896 1
Sb2 Sb 0.729 0.000 0.454 1